An optimized crystal structure of ThPaPt6. Source: Alexandria, functional PBE.

Unit cell a=4.230 b=4.230 c=8.357 alpha=90.00 beta=90.00 gamma=90.00
Each line ends with the local moment (μB).
Sites, in units of the cell vectors:
Th 0.000 0.000 0.500  0.01
Pa 0.000 0.000 0.000  0.53
Pt 0.500 0.500 0.000  0.04
Pt 0.500 0.500 0.500  0.02
Pt 0.500 0.000 0.245  0.03
Pt 0.500 0.000 0.755  0.03
Pt 0.000 0.500 0.245  0.03
Pt 0.000 0.500 0.755  0.03

Output
**Calculated volume**: 18.69 A^3/atom
**Space-group type**: P4/mmm
**Energy relative to the elements**: -990 meV per atom
**VASP energy**: -61.1 eV/cell


An optimized crystal structure of Cr2PbW. Source: Alexandria, functional PBE.

Unit cell a=8.901 b=8.901 c=8.901 alpha=19.69 beta=19.69 gamma=19.69
Each line ends with the local moment (μB).
Sites, in units of the cell vectors:
Cr 0.999 0.999 0.999  -1.12
Cr 0.265 0.265 0.265  2.66
Pb 0.501 0.501 0.501  -0.01
W 0.735 0.735 0.735  0.35

Output
**Calculated volume**: 17.51 A^3/atom
**Space-group type**: R3m
**Energy relative to the elements**: 778 meV per atom
**VASP energy**: -32.8 eV/cell


An optimized crystal structure of BaMg. Source: Alexandria, functional PBE.

Unit cell a=7.030 b=7.030 c=7.030 alpha=90.00 beta=90.00 gamma=90.00
Sites, in units of the cell vectors:
Ba 0.416 0.416 0.416
Ba 0.084 0.584 0.916
Ba 0.584 0.916 0.084
Ba 0.916 0.084 0.584
Mg 0.098 0.098 0.098
Mg 0.402 0.902 0.598
Mg 0.902 0.598 0.402
Mg 0.598 0.402 0.902

Output
**Calculated volume**: 43.43 A^3/atom
**Space-group type**: P2_13
**Energy relative to the elements**: 66 meV per atom
**VASP energy**: -13.5 eV/cell


An optimized crystal structure of Tb4NdDy3. Source: Alexandria, functional PBE.

Unit cell a=3.481 b=6.696 c=15.200 alpha=131.34 beta=96.57 gamma=90.00
Sites, in units of the cell vectors:
Nd 0.500 0.000 0.000
Tb 0.374 0.880 0.748
Tb 0.626 0.120 0.252
Tb 0.626 0.634 0.251
Tb 0.374 0.366 0.749
Dy 0.000 0.500 0.000
Dy 0.240 0.219 0.480
Dy 0.760 0.781 0.520

Output
**Calculated volume**: 32.86 A^3/atom
**Space-group type**: C2/m
**Energy relative to the elements**: 164 meV per atom
**VASP energy**: -35.8 eV/cell
**Energy relative to the lowest polymorph listed for this composition**: 0.1496 eV/atom